Density functional theory data (PBE-GGA) for a geometry-optimized CdTcGeW2 structure.

```
CdTcGeW2
1.0
4.799 0.000 0.000
0.000 4.697 0.000
0.000 0.000 4.799
Tc W Ge Cd
1 2 1 1
Direct
0.000 0.000 0.000
0.500 0.000 0.000
0.000 0.000 0.500
0.000 0.500 0.000
0.500 0.500 0.500
```

Output
**Energy relative to the elements**: 1.49 eV per atom
**Crystal system**: tetragonal
**Space-group type**: P4/mmm, No. 123
**Size of the total moment**: 0.34 μB per formula unit
**Density**: 9.99 g/cm³



Density functional theory data (PBE-GGA) for a geometry-optimized Nd2InFe structure.

```
Nd2InFe
1.0
3.635 0.000 0.000
0.000 3.635 0.000
0.000 0.000 7.789
Fe In Nd
1 1 2
Direct
0.500 0.500 0.000
0.500 0.500 0.500
0.000 0.000 0.782
0.000 0.000 0.218
```

Output
**Energy relative to the elements**: -0.07 eV per atom
**Crystal system**: tetragonal
**Space-group type**: P4/mmm, No. 123
**Size of the total moment**: 1.65 μB per formula unit
**Density**: 7.41 g/cm³



Density functional theory data (PBE-GGA) for a geometry-optimized In3MoH structure.

```
In3MoH
1.0
-1.651 4.701 1.877
-2.537 0.940 -4.586
-4.380 -2.316 1.948
H In Mo
1 3 1
Direct
0.500 0.500 0.500
0.500 0.000 0.000
0.000 0.000 0.500
0.000 0.500 0.000
0.000 0.000 0.000
```

Output
**Crystal system**: cubic
**Space-group type**: Pm-3m, No. 221
**Calculated total energy**: -17.64 eV per cell
**Size of the total moment**: 1.59 μB per formula unit
**Density**: 4.86 g/cm³



Density functional theory data (PBE-GGA) for a geometry-optimized Er2ZrSi2Rh5 structure.

```
Er2ZrSi2Rh5
1.0
3.564 0.000 0.000
0.000 9.741 0.000
0.000 0.000 9.741
Rh Er Si Zr
10 4 4 2
Direct
0.500 0.000 0.500
0.500 0.715 0.430
0.500 0.215 0.070
0.500 0.285 0.570
0.500 0.930 0.215
0.500 0.070 0.785
0.500 0.785 0.930
0.500 0.570 0.715
0.500 0.500 0.000
0.500 0.430 0.285
0.000 0.174 0.326
0.000 0.674 0.174
0.000 0.826 0.674
0.000 0.326 0.826
0.000 0.122 0.622
0.000 0.878 0.378
0.000 0.622 0.878
0.000 0.378 0.122
0.000 0.000 0.000
0.000 0.500 0.500
```

Output
**Crystal system**: tetragonal
**Space-group type**: P4/mbm, No. 127
**Calculated total energy**: -150.89 eV per cell
**Size of the total moment**: 0.00 μB per formula unit
**Density**: 9.79 g/cm³



Density functional theory data (PBE-GGA) for a geometry-optimized Ce2WN6 structure.

```
Ce2WN6
1.0
5.132 0.000 0.000
0.000 5.132 0.000
0.000 0.000 10.215
N W Ce
12 2 4
Direct
0.685 0.685 0.352
0.815 0.185 0.852
0.185 0.815 0.852
0.275 0.275 0.000
0.725 0.725 0.000
0.685 0.685 0.648
0.315 0.315 0.648
0.315 0.315 0.352
0.775 0.225 0.500
0.185 0.815 0.148
0.815 0.185 0.148
0.225 0.775 0.500
0.500 0.500 0.500
0.000 0.000 0.000
0.500 0.500 0.830
0.000 0.000 0.330
0.000 0.000 0.670
0.500 0.500 0.170
```

Output
**Crystal system**: tetragonal
**Space-group type**: P4_2/mnm, No. 136
**Calculated total energy**: -151.38 eV per cell
**Size of the total moment**: 0.00 μB per formula unit
**Density**: 6.77 g/cm³



Density functional theory data (PBE-GGA) for a geometry-optimized ZrAlSi2 structure.

```
ZrAlSi2
1.0
-2.363 1.078 1.423
1.929 -1.771 4.544
3.308 2.680 3.463
Zr Si Al
1 2 1
Direct
0.500 0.500 0.500
0.000 0.000 0.000
0.500 0.500 0.000
0.000 0.000 0.500
```

Output
**Crystal system**: monoclinic
**Space-group type**: P2/m, No. 10
**Calculated total energy**: -23.67 eV per cell
**Size of the total moment**: 0.00 μB per formula unit
**Density**: 4.26 g/cm³



Density functional theory data (PBE-GGA) for a geometry-optimized Ta2NiPCl structure.

```
Ta2NiPCl
1.0
-3.521 1.220 -2.742
-2.291 -2.518 1.821
-1.213 3.288 3.020
P Ta Cl Ni
1 2 1 1
Direct
0.500 0.500 0.500
0.000 0.000 0.500
0.500 0.000 0.000
0.000 0.000 0.000
0.000 0.500 0.000
```

Output
**Crystal system**: tetragonal
**Space-group type**: P4/mmm, No. 123
**Calculated total energy**: -32.30 eV per cell
**Size of the total moment**: 0.00 μB per formula unit
**Density**: 9.79 g/cm³



Density functional theory data (PBE-GGA) for a geometry-optimized Ba2CaBr2 structure.

```
Ba2CaBr2
1.0
5.406 0.000 0.000
0.000 5.406 0.000
2.703 2.703 8.376
Ba Ca Br
2 1 2
Direct
0.636 0.636 0.727
0.364 0.364 0.273
0.000 0.000 0.000
0.750 0.250 0.500
0.250 0.750 0.500
```

Output
**Crystal system**: tetragonal
**Space-group type**: I4/mmm, No. 139
**Calculated total energy**: -14.84 eV per cell
**Size of the total moment**: 0.00 μB per formula unit
**Density**: 3.22 g/cm³